## SmSnPO (PBE)

Data for a relaxed SmSnPO crystal.

Lattice parameters (Å, degrees): 4.1554 4.1554 9.7187 90.00 90.00 90.00
With the nearest neighbours (Å) after each atom.
Element x y z (fractional)
1 Sm 0.2500 0.2500 0.1095  4 O 2.33
2 Sm 0.7500 0.7500 0.8905  4 O 2.33
3 Sn 0.2500 0.7500 0.5000  4 Sn 2.94, 4 P 2.98
4 Sn 0.7500 0.2500 0.5000  4 Sn 2.94, 4 P 2.98
5 P 0.2500 0.2500 0.7198  4 Sn 2.98
6 P 0.7500 0.7500 0.2802  4 Sn 2.98
7 O 0.2500 0.7500 0.0000  4 Sm 2.33
8 O 0.7500 0.2500 0.0000  4 Sm 2.33

Computed properties:
Electronic total energy = -6.14 eV/atom
Energy relative to the lowest polymorph listed for this composition = 0.027 eV per atom
Total magnetic moment = 0.01 μB/cell

---

## SmSnPO (PBE)

Data for a relaxed SmSnPO crystal.

Lattice parameters (Å, degrees): 4.0268 7.9680 6.2828 90.00 90.00 90.00
With the nearest neighbours (Å) after each atom.
Element x y z (fractional)
1 Sm 0.0000 0.1682 0.0000  2 O 2.20
2 Sm 0.0000 0.8318 0.5000  2 O 2.20
3 Sn 0.5000 0.3687 0.5810  1 O 2.20
4 Sn 0.5000 0.6313 0.0810  1 O 2.20
5 P 0.0000 0.1838 0.4559  2 Sn 2.62, 2 Sm 2.82-2.87
6 P 0.0000 0.8162 0.9559  2 Sn 2.62, 2 Sm 2.82-2.87
7 O 0.5000 0.2334 0.8866  2 Sm 2.20, 1 Sn 2.20
8 O 0.5000 0.7666 0.3866  2 Sm 2.20, 1 Sn 2.20

Computed properties:
Electronic total energy = -6.17 eV/atom
Energy relative to the lowest polymorph listed for this composition = 0.000 eV per atom
Total magnetic moment = 0.01 μB/cell

---

## SmTaPO (PBE)

Data for a relaxed SmTaPO crystal.

Lattice parameters (Å, degrees): 3.9651 3.9651 8.9410 90.00 90.00 90.00
With the nearest neighbours (Å) after each atom.
Element x y z (fractional)
1 Sm 0.2500 0.2500 0.1305  4 O 2.30
2 Sm 0.7500 0.7500 0.8695  4 O 2.30
3 Ta 0.2500 0.7500 0.5000  4 P 2.58, 4 Ta 2.80
4 Ta 0.7500 0.2500 0.5000  4 P 2.58, 4 Ta 2.80
5 P 0.2500 0.2500 0.6840  4 Ta 2.58
6 P 0.7500 0.7500 0.3160  4 Ta 2.58
7 O 0.2500 0.7500 0.0000  4 Sm 2.30
8 O 0.7500 0.2500 0.0000  4 Sm 2.30

Computed properties:
Electronic total energy = -8.63 eV/atom
Energy relative to the lowest polymorph listed for this composition = 0.000 eV per atom
Total magnetic moment = 0.02 μB/cell

---

## SmTaPO (PBE)

Data for a relaxed SmTaPO crystal.

Lattice parameters (Å, degrees): 4.1671 4.7359 6.7361 90.00 90.00 90.00
With the nearest neighbours (Å) after each atom.
Element x y z (fractional)
1 Sm 0.0000 0.1562 0.0000  3 O 2.51-2.63
2 Sm 0.0000 0.8438 0.5000  3 O 2.51-2.63
3 Ta 0.5000 0.3567 0.3539  2 O 2.08
4 Ta 0.5000 0.6433 0.8539  2 O 2.08
5 P 0.5000 0.1506 0.7033  3 Ta 2.54-2.61
6 P 0.5000 0.8494 0.2033  3 Ta 2.54-2.61
7 O 0.0000 0.3574 0.3517  2 Ta 2.08
8 O 0.0000 0.6426 0.8517  2 Ta 2.08

Computed properties:
Electronic total energy = -8.47 eV/atom
Energy relative to the lowest polymorph listed for this composition = 0.164 eV per atom
Total magnetic moment = 0.01 μB/cell

---

## SmTaPO (PBE)

Data for a relaxed SmTaPO crystal.

Lattice parameters (Å, degrees): 3.8758 7.0888 5.8018 90.00 90.00 90.00
With the nearest neighbours (Å) after each atom.
Element x y z (fractional)
1 Sm 0.0000 0.2147 0.0000  2 O 2.28
2 Sm 0.0000 0.7853 0.5000  2 O 2.28
3 Ta 0.5000 0.4032 0.5098  2 O 2.06-2.08
4 Ta 0.5000 0.5968 0.0098  2 O 2.06-2.08
5 P 0.0000 0.1844 0.4854  2 Ta 2.49
6 P 0.0000 0.8156 0.9854  2 Ta 2.49
7 O 0.5000 0.3330 0.8539  2 Ta 2.06-2.08, 2 Sm 2.28
8 O 0.5000 0.6670 0.3539  2 Ta 2.06-2.08, 2 Sm 2.28

Computed properties:
Electronic total energy = -8.14 eV/atom
Energy relative to the lowest polymorph listed for this composition = 0.490 eV per atom
Total magnetic moment = 0.04 μB/cell

---

## SmTaPO (PBE)

Data for a relaxed SmTaPO crystal.

Lattice parameters (Å, degrees): 4.1245 4.1245 7.6958 90.00 90.00 90.00
With the nearest neighbours (Å) after each atom.
Element x y z (fractional)
1 Sm 0.2500 0.7500 0.0000  4 P 2.86, 4 Sm 2.92
2 Sm 0.7500 0.2500 0.0000  4 P 2.86, 4 Sm 2.92
3 Ta 0.2500 0.2500 0.3990  4 O 2.20
4 Ta 0.7500 0.7500 0.6010  4 O 2.20
5 P 0.2500 0.2500 0.7424  1 Ta 2.64, 4 O 2.78, 4 Sm 2.86
6 P 0.7500 0.7500 0.2576  1 Ta 2.64, 4 O 2.78, 4 Sm 2.86
7 O 0.2500 0.7500 0.5000  4 Ta 2.20
8 O 0.7500 0.2500 0.5000  4 Ta 2.20

Computed properties:
Electronic total energy = -7.51 eV/atom
Energy relative to the lowest polymorph listed for this composition = 1.121 eV per atom
Total magnetic moment = 0.06 μB/cell

---

## TbSmPO (PBE)

Data for a relaxed TbSmPO crystal.

Lattice parameters (Å, degrees): 4.3294 4.3294 8.7903 90.00 90.00 90.00
With the nearest neighbours (Å) after each atom.
Element x y z (fractional)
1 Tb 0.2500 0.2500 0.1006  4 O 2.34
2 Tb 0.7500 0.7500 0.8994  4 O 2.34
3 Sm 0.2500 0.7500 0.5000  4 P 2.81, 4 Sm 3.06
4 Sm 0.7500 0.2500 0.5000  4 P 2.81, 4 Sm 3.06
5 P 0.2500 0.2500 0.7036  4 Sm 2.81
6 P 0.7500 0.7500 0.2964  4 Sm 2.81
7 O 0.2500 0.7500 0.0000  4 Tb 2.34
8 O 0.7500 0.2500 0.0000  4 Tb 2.34

Computed properties:
Electronic total energy = -6.78 eV/atom
Energy relative to the lowest polymorph listed for this composition = 0.152 eV per atom
Total magnetic moment = 0.04 μB/cell

---

## TbSmPO (PBE)

Data for a relaxed TbSmPO crystal.

Lattice parameters (Å, degrees): 4.3526 4.3526 8.7787 90.00 90.00 90.00
With the nearest neighbours (Å) after each atom.
Element x y z (fractional)
1 Tb 0.2500 0.7500 0.0000  4 P 2.76, 4 Tb 3.08
2 Tb 0.7500 0.2500 0.0000  4 P 2.76, 4 Tb 3.08
3 Sm 0.2500 0.2500 0.3919  4 O 2.37
4 Sm 0.7500 0.7500 0.6081  4 O 2.37
5 P 0.2500 0.2500 0.8067  4 Tb 2.76
6 P 0.7500 0.7500 0.1933  4 Tb 2.76
7 O 0.2500 0.7500 0.5000  4 Sm 2.37
8 O 0.7500 0.2500 0.5000  4 Sm 2.37

Computed properties:
Electronic total energy = -6.83 eV/atom
Energy relative to the lowest polymorph listed for this composition = 0.096 eV per atom
Total magnetic moment = 0.01 μB/cell

---

## TbSmPO (PBE)

Data for a relaxed TbSmPO crystal.

Lattice parameters (Å, degrees): 4.2105 7.7511 5.5433 90.00 90.00 90.00
With the nearest neighbours (Å) after each atom.
Element x y z (fractional)
1 Tb 0.0000 0.2044 0.0000  2 O 2.32
2 Tb 0.0000 0.7956 0.5000  2 O 2.32
3 Sm 0.5000 0.3696 0.5276  2 O 2.37-2.48
4 Sm 0.5000 0.6304 0.0276  2 O 2.37-2.48
5 P 0.0000 0.1504 0.4993  2 Sm 2.71, 3 Tb 2.75-2.81
6 P 0.0000 0.8496 0.9993  2 Sm 2.71, 3 Tb 2.75-2.81
7 O 0.5000 0.3271 0.9702  2 Tb 2.32, 2 Sm 2.37-2.48
8 O 0.5000 0.6729 0.4702  2 Tb 2.32, 2 Sm 2.37-2.48

Computed properties:
Electronic total energy = -6.91 eV/atom
Energy relative to the lowest polymorph listed for this composition = 0.014 eV per atom
Total magnetic moment = 0.01 μB/cell

---

## TbSmPO (PBE)

Data for a relaxed TbSmPO crystal.

Lattice parameters (Å, degrees): 4.2374 7.5445 5.8310 90.00 90.00 90.00
With the nearest neighbours (Å) after each atom.
Element x y z (fractional)
1 Tb 0.0000 0.1199 0.0000  2 O 2.24-2.28
2 Tb 0.0000 0.8801 0.5000  2 O 2.24-2.28
3 Sm 0.5000 0.3016 0.4375  2 O 2.37
4 Sm 0.5000 0.6984 0.9375  2 O 2.37
5 P 0.5000 0.3315 0.9333  2 Tb 2.68, 3 Sm 2.77-2.95
6 P 0.5000 0.6685 0.4333  2 Tb 2.68, 3 Sm 2.77-2.95
7 O 0.0000 0.1677 0.3797  2 Tb 2.24-2.28, 2 Sm 2.37
8 O 0.0000 0.8323 0.8797  2 Tb 2.24-2.28, 2 Sm 2.37

Computed properties:
Electronic total energy = -6.93 eV/atom
Energy relative to the lowest polymorph listed for this composition = 0.000 eV per atom
Total magnetic moment = 0.01 μB/cell

---

## SmTcPO (PBE)

Data for a relaxed SmTcPO crystal.

Lattice parameters (Å, degrees): 4.4136 4.2402 6.7399 90.00 90.00 90.00
With the nearest neighbours (Å) after each atom.
Element x y z (fractional)
1 Sm 0.0000 0.2105 0.0000  3 O 2.33-2.40
2 Sm 0.0000 0.7895 0.5000  3 O 2.33-2.40
3 Tc 0.5000 0.3004 0.3459  2 O 2.21, 3 P 2.33-2.38
4 Tc 0.5000 0.6996 0.8459  2 O 2.21, 3 P 2.33-2.38
5 P 0.5000 0.2007 0.6861  3 Tc 2.33-2.38
6 P 0.5000 0.7993 0.1861  3 Tc 2.33-2.38
7 O 0.0000 0.2953 0.3414  2 Tc 2.21, 3 Sm 2.33-2.40
8 O 0.0000 0.7047 0.8414  2 Tc 2.21, 3 Sm 2.33-2.40

Computed properties:
Electronic total energy = -7.82 eV/atom
Energy relative to the lowest polymorph listed for this composition = 0.424 eV per atom
Total magnetic moment = 0.06 μB/cell

---

## SmTcPO (PBE)

Data for a relaxed SmTcPO crystal.

Lattice parameters (Å, degrees): 4.2261 4.2261 8.8741 90.00 90.00 90.00
With the nearest neighbours (Å) after each atom.
Element x y z (fractional)
1 Sm 0.2500 0.7500 0.0000  4 P 2.85, 4 Sm 2.99
2 Sm 0.7500 0.2500 0.0000  4 P 2.85, 4 Sm 2.99
3 Tc 0.2500 0.2500 0.4660  4 O 2.13, 1 P 2.22
4 Tc 0.7500 0.7500 0.5340  4 O 2.13, 1 P 2.22
5 P 0.2500 0.2500 0.2163  1 Tc 2.22
6 P 0.7500 0.7500 0.7837  1 Tc 2.22
7 O 0.2500 0.7500 0.5000  4 Tc 2.13
8 O 0.7500 0.2500 0.5000  4 Tc 2.13

Computed properties:
Electronic total energy = -6.58 eV/atom
Energy relative to the lowest polymorph listed for this composition = 1.668 eV per atom
Total magnetic moment = 0.22 μB/cell